1.
Material: PmPaIr
Method: DFT, GGA-PBE
State: relaxed

Properties
- space group = P2_1/m (11)
- mass density (g cm⁻³) = 12.3
- DFT total energy (Ry/atom) = -0.6060
- D(E_F) (states/eV per cell) = 7.6
- energy relative to the elements (meV/atom) = -543

abc: 4.838 4.264 7.419
angles: 89.99 87.91 90.00
Positions (direct):
Pm1 0.815 0.866 0.545
Pm2 0.312 0.366 0.294
Pa1 0.768 0.366 0.931
Pa2 0.359 0.867 0.908
Ir1 0.919 0.866 0.149
Ir2 0.208 0.367 0.690

=====

2.
Material: Pm12PaIr7
Method: DFT, GGA-PBE
State: relaxed

Properties
- space group = R-3 (148)
- mass density (g cm⁻³) = 9.2
- DFT total energy (Ry/atom) = -0.5111
- D(E_F) (states/eV per cell) = 19.2
- energy relative to the elements (meV/atom) = -527

abc: 9.122 9.227 9.227
angles: 70.30 70.76 109.24
Positions (direct):
Pm1 0.755 0.417 0.147
Pm2 0.098 0.853 0.564
Pm3 0.345 0.210 0.078
Pm4 0.577 0.922 0.288
Pm5 0.662 0.564 0.583
Pm6 0.865 0.288 0.790
Pm7 0.135 0.712 0.210
Pm8 0.338 0.436 0.417
Pm9 0.423 0.078 0.712
Pm10 0.655 0.790 0.922
Pm11 0.902 0.147 0.436
Pm12 0.245 0.583 0.853
Pa1 0.000 0.000 0.000
Ir1 0.942 0.231 0.088
Ir2 0.970 0.912 0.319
Ir3 0.289 0.319 0.769
Ir4 0.500 0.000 0.000
Ir5 0.711 0.681 0.231
Ir6 0.030 0.088 0.681
Ir7 0.058 0.769 0.912

=====

3.
Material: PmPaIr
Method: DFT, GGA-PBE
State: relaxed

Properties
- space group = F-43m (216)
- mass density (g cm⁻³) = 11.8
- DFT total energy (Ry/atom) = -0.5844
- D(E_F) (states/eV per cell) = 6.0
- energy relative to the elements (meV/atom) = -248

abc: 4.839 4.839 4.839
angles: 60.00 60.00 60.00
Positions (direct):
Pa1 0.000 0.000 0.000
Pm1 0.500 0.500 0.500
Ir1 0.250 0.250 0.250

=====

no.,M_tot (μB/f.u.)
1,0.0
2,0.0
3,0.0